1.
Hf4Cd2In after structural relaxation, computed with PBE.

Computed properties:
The space-group type is Cmmm. For the magnetic moment, the calculation gives 0.000 μB per atom. The formation energy from the elements comes out at -0.09 eV/atom. Its total energy is -6.433 eV/atom.

Lattice parameters (Å, degrees): 3.0892 3.0720 16.6374 95.30 90.00 90.00
Element x y z (fractional)
Hf 0.0000 0.6381 0.2762
In 0.0000 0.5000 0.0000
Hf 0.5000 0.9271 0.8542
Cd 0.5000 0.7892 0.5785
Cd 0.5000 0.2108 0.4215
Hf 0.5000 0.0729 0.1458
Hf 0.0000 0.3619 0.7238

2.
CaSbW2Au after structural relaxation, computed with PBE.

Computed properties:
The space-group type is P4/mmm. For the magnetic moment, the calculation gives 0.000 μB per atom. Its total energy is -5.517 eV/atom. Its energy above the most stable polymorph in this dataset is 1.509 eV per atom.

Lattice parameters (Å, degrees): 4.9355 5.3144 4.9355 90.00 90.00 90.00
Element x y z (fractional)
W 0.5000 0.0000 0.0000
W 0.0000 0.0000 0.5000
Ca 0.0000 0.5000 0.0000
Au 0.0000 0.0000 0.0000
Sb 0.5000 0.5000 0.5000

Number 1: Fermi-level density of states 0.680 states/eV/atom. Number 2: Fermi-level density of states 1.155 states/eV/atom.